Entry 1:
Zn2TcW at its PBEsol-relaxed geometry, computed with SCAN.

abc: 3.1495 4.1596 4.3377
angles: 90.00 90.00 90.00
Closest atoms and distances in Å follow each position.
Space group Pmmm (No. 47)
Inequivalent atoms, fractional coordinates:
Zn: 0.0000 0.0000 0.0000 (multiplicity 1)  4 Zn 2.61, 4 W 2.68
Zn: 0.5000 0.5000 0.0000 (multiplicity 1)  4 Zn 2.61, 4 Tc 2.68
Tc: 0.0000 0.5000 0.5000 (multiplicity 1)  4 W 2.61, 4 Zn 2.68
W: 0.5000 0.0000 0.5000 (multiplicity 1)  4 Tc 2.61, 4 Zn 2.68

Properties
Energy relative to the lowest polymorph listed for this composition, meV/atom: 23

Entry 2:
Zn2TcW at its PBEsol-relaxed geometry, computed with SCAN.

abc: 3.3211 4.2482 7.9275
angles: 90.00 90.00 90.00
Closest atoms and distances in Å follow each position.
Space group Imm2 (No. 44)
Inequivalent atoms, fractional coordinates:
Zn: 0.0000 0.0000 0.0000 (multiplicity 2)  2 Zn 2.48, 2 Tc 2.65, 4 W 2.70
Zn: 0.0000 0.5000 0.2684 (multiplicity 2)  2 Zn 2.48, 2 W 2.65, 4 Tc 2.70
Tc: 0.0000 0.5000 0.7602 (multiplicity 2)  2 W 2.57, 8 Zn 2.65-2.85
W: 0.0000 0.0000 0.5073 (multiplicity 2)  2 Tc 2.57, 8 Zn 2.65-2.85

Properties
Energy relative to the lowest polymorph listed for this composition, meV/atom: 0

Entry 3:
ZnTc2W at its PBEsol-relaxed geometry, computed with SCAN.

abc: 3.1404 3.1404 5.7667
angles: 90.00 90.00 90.00
Closest atoms and distances in Å follow each position.
Space group P4/mmm (No. 123)
Inequivalent atoms, fractional coordinates:
Zn: 0.0000 0.0000 0.0000 (multiplicity 1)  8 Tc 2.63, 2 W 2.88
Tc: 0.5000 0.5000 0.2430 (multiplicity 2)  4 Zn 2.63, 4 W 2.67, 1 Tc 2.80
W: 0.0000 0.0000 0.5000 (multiplicity 1)  8 Tc 2.67, 2 Zn 2.88

Entry 4:
Zn2TcW at its PBEsol-relaxed geometry, computed with SCAN.

abc: 6.0947 6.0947 6.0947
angles: 90.00 90.00 90.00
Closest atoms and distances in Å follow each position.
Space group F-43m (No. 216)
Inequivalent atoms, fractional coordinates:
Zn: 0.0000 0.0000 0.0000 (multiplicity 4)  4 Zn 2.64, 4 W 2.64
Zn: 0.2500 0.2500 0.2500 (multiplicity 4)  4 Tc 2.64, 4 Zn 2.64
Tc: 0.0000 0.0000 0.5000 (multiplicity 4)  4 W 2.64, 4 Zn 2.64
W: 0.2500 0.2500 0.7500 (multiplicity 4)  4 Tc 2.64, 4 Zn 2.64

Properties
Energy relative to the lowest polymorph listed for this composition, meV/atom: 17

no.,energy relative to the elements (eV/atom),total energy (eV per atom)
1,0.17,-32.78
2,0.14,-32.80
3,0.00,-38.33
4,0.16,-32.78